KAlNiO3 PBE+U relaxed; density = 3.9 g/cm3; SG = No. 63; E = -5.64 eV/atom
1.0
2.706 -5.065 0.000
2.706 5.065 0.000
0.000 0.000 5.314
K Al Ni O
2 2 2 6
direct
0.246 0.754 0.750
0.754 0.246 0.250
0.437 0.563 0.250
0.563 0.437 0.750
0.069 0.931 0.250
0.931 0.069 0.750
0.265 0.735 0.250
0.270 0.270 0.000
0.270 0.270 0.500
0.730 0.730 0.000
0.730 0.730 0.500
0.735 0.265 0.750